Entry 1:
DFT (PBE-GGA) results for a relaxed structure of ScGa3Co.

Lattice parameters (Å, degrees): 5.442 8.353 7.273 90.00 90.00 90.00
Element x y z (fractional)
1 Sc 0.234 0.250 0.126
2 Sc 0.266 0.750 0.626
3 Sc 0.734 0.250 0.374
4 Sc 0.766 0.750 0.874
5 Ga 0.119 0.047 0.821
6 Ga 0.119 0.453 0.821
7 Ga 0.240 0.250 0.523
8 Ga 0.260 0.750 0.023
9 Ga 0.381 0.547 0.321
10 Ga 0.381 0.953 0.321
11 Ga 0.619 0.047 0.679
12 Ga 0.619 0.453 0.679
13 Ga 0.740 0.250 0.977
14 Ga 0.760 0.750 0.477
15 Ga 0.881 0.547 0.179
16 Ga 0.881 0.953 0.179
17 Co 0.000 0.000 0.500
18 Co 0.000 0.500 0.500
19 Co 0.500 0.000 0.000
20 Co 0.500 0.500 0.000

electronic total energy = -96.72 eV per cell
Fermi-level density of states = 16.26 states/eV/cell
energy of formation = -333 meV per atom
mass density = 6.29 g cm⁻³
E above lowest polymorph = 20.3 meV per atom
symmetry = Pnma (62)

Entry 2:
DFT (PBE-GGA) results for a relaxed structure of Li5TcAuN2.

Lattice parameters (Å, degrees): 4.062 4.062 7.853 90.00 90.00 90.00
Element x y z (fractional)
1 Li 0.000 0.000 0.000
2 Li 0.000 0.500 0.260
3 Li 0.000 0.500 0.740
4 Li 0.500 0.000 0.260
5 Li 0.500 0.000 0.740
6 Tc 0.000 0.000 0.500
7 Au 0.500 0.500 0.000
8 N 0.000 0.000 0.263
9 N 0.000 0.000 0.737

electronic total energy = -42.07 eV per cell
Fermi-level density of states = 2.43 states/eV/cell
mass density = 4.58 g cm⁻³
symmetry = P4/mmm (123)
ΔE_f (raw) = -0.245 eV/atom

Entry 3:
DFT (PBE-GGA) results for a relaxed structure of Ag2IrAu.

Lattice parameters (Å, degrees): 4.006 4.006 8.444 90.00 90.00 90.00
Element x y z (fractional)
1 Ag 0.000 0.500 0.250
2 Ag 0.000 0.500 0.750
3 Ag 0.500 0.000 0.250
4 Ag 0.500 0.000 0.750
5 Ir 0.000 0.000 0.000
6 Ir 0.500 0.500 0.500
7 Au 0.000 0.000 0.500
8 Au 0.500 0.500 0.000

electronic total energy = -32.64 eV per cell
Fermi-level density of states = 7.41 states/eV/cell
energy of formation = 380 meV per atom
mass density = 14.82 g cm⁻³
E above lowest polymorph = 163.2 meV per atom
symmetry = I4/mmm (139)

Entry 4:
DFT (PBE-GGA) results for a relaxed structure of Np2Bi.

Lattice parameters (Å, degrees): 4.666 8.531 3.831 90.00 90.00 90.00
Element x y z (fractional)
1 Np 0.000 0.174 0.000
2 Np 0.000 0.826 0.000
3 Np 0.500 0.326 0.000
4 Np 0.500 0.674 0.000
5 Bi 0.000 0.500 0.500
6 Bi 0.500 0.000 0.500

electronic total energy = -57.45 eV per cell
Fermi-level density of states = 12.24 states/eV/cell
energy of formation = 346 meV per atom
mass density = 14.87 g cm⁻³
symmetry = Cmmm (65)